Density functional theory data (meta-GGA SCAN) for a crystal of TlZnAs relaxed with PBEsol.

a = 4.1522 Å, b = 4.1522 Å, c = 4.8039 Å
α = 90.00°, β = 90.00°, γ = 120.00°
Space group P3m1 (No. 156)
One atom of each set of equivalent atoms:
Tl (0.0000, 0.0000, 0.0000) (multiplicity 1)
Zn (0.3333, 0.6667, 0.4981) (multiplicity 1)
As (0.6667, 0.3333, 0.5020) (multiplicity 1)

total magnetic moment	0.00	μB/f.u.
ΔE_f	-94	meV/atom
VASP energy	-35.45	eV/atom
calculated volume	23.909	Å³ per atom



Density functional theory data (meta-GGA SCAN) for a crystal of AgHg2Rh relaxed with PBEsol.

a = 8.940 Å, b = 3.068 Å, c = 5.280 Å
α = 90.00°, β = 101.28°, γ = 90.00°
Space group C2/m (No. 12)
One atom of each set of equivalent atoms:
Ag (0.000, 0.000, 0.000) (multiplicity 2)
Hg (0.245, 0.000, 0.741) (multiplicity 4)
Rh (0.000, 0.500, 0.500) (multiplicity 2)

total magnetic moment	0.00	μB/f.u.
ΔE_f	168	meV/atom
VASP energy	-50.20	eV/atom
calculated volume	17.752	Å³ per atom



Density functional theory data (meta-GGA SCAN) for a crystal of Sr2Mg relaxed with PBEsol.

a = 7.616 Å, b = 5.862 Å, c = 10.957 Å
α = 90.00°, β = 90.00°, γ = 90.00°
Space group Pnma (No. 62)
One atom of each set of equivalent atoms:
Sr (0.040, 0.250, 0.211) (multiplicity 4)
Sr (0.175, 0.250, 0.568) (multiplicity 4)
Mg (0.201, 0.250, 0.896) (multiplicity 4)

total magnetic moment	0.07	μB/f.u.
ΔE_f	-10	meV/atom
VASP energy	-16.52	eV/atom
calculated volume	40.766	Å³ per atom



Density functional theory data (meta-GGA SCAN) for a crystal of LaInNi relaxed with PBEsol.

a = 4.5455 Å, b = 4.5455 Å, c = 3.8233 Å
α = 90.00°, β = 90.00°, γ = 120.00°
Space group P-6m2 (No. 187)
One atom of each set of equivalent atoms:
La (0.0000, 0.0000, 0.0000) (multiplicity 1)
In (0.3333, 0.6667, 0.5000) (multiplicity 1)
Ni (0.6667, 0.3333, 0.5000) (multiplicity 1)

total magnetic moment	0.00	μB/f.u.
ΔE_f	-404	meV/atom
VASP energy	-31.29	eV/atom
calculated volume	22.804	Å³ per atom



Density functional theory data (meta-GGA SCAN) for a crystal of AlIn2Te relaxed with PBEsol.

a = 3.9179 Å, b = 3.9179 Å, c = 23.2935 Å
α = 90.00°, β = 90.00°, γ = 120.00°
Space group R3m (No. 160, hexagonal axes)
One atom of each set of equivalent atoms:
Al (0.0000, 0.0000, 0.0000) (multiplicity 3)
In (0.0000, 0.0000, 0.5012) (multiplicity 3)
In (0.0000, 0.0000, 0.7459) (multiplicity 3)
Te (0.0000, 0.0000, 0.2642) (multiplicity 3)

total magnetic moment	0.00	μB/f.u.
uncorrected formation energy	-0.054	eV/atom
E above lowest polymorph	0.000	eV/atom
VASP energy	-28.00	eV/atom
calculated volume	25.804	Å³ per atom



Density functional theory data (meta-GGA SCAN) for a crystal of TaCr2Cd relaxed with PBEsol.

a = 2.8229 Å, b = 2.8229 Å, c = 26.5436 Å
α = 90.00°, β = 90.00°, γ = 120.00°
Space group R3m (No. 160, hexagonal axes)
One atom of each set of equivalent atoms:
Ta (0.0000, 0.0000, 0.0000) (multiplicity 3)
Cr (0.0000, 0.0000, 0.4782) (multiplicity 3)
Cr (0.0000, 0.0000, 0.7534) (multiplicity 3)
Cd (0.0000, 0.0000, 0.2352) (multiplicity 3)

total magnetic moment	0.00	μB/f.u.
ΔE_f	428	meV/atom
VASP energy	-33.01	eV/atom
calculated volume	15.265	Å³ per atom